# ZrRh2

A relaxed structure of ZrRh2 (PBE-GGA, Alexandria via LeMat-Bulk).

Properties
ΔE_f = 0.1371 eV per atom
spin magnetization = 0.000 μB per atom
energy = -7.61 eV per atom

```
ZrRh2
1.0
-4.021 4.637 -0.804
-4.657 -3.767 1.561
0.680 1.618 5.936
Rh Zr
8 4
direct
0.121 0.621 0.879
0.121 0.879 0.379
0.379 0.121 0.879
0.379 0.379 0.379
0.621 0.621 0.621
0.621 0.879 0.121
0.879 0.121 0.621
0.879 0.379 0.121
0.000 0.000 0.000
0.000 0.500 0.500
0.500 0.000 0.500
0.500 0.500 0.000
```